## Co2IF (GGA+U)

Data for a relaxed structure of Co2IF.

POSCAR file:
```
Co2IF
1.0
-0.9966 -3.4557 3.2031
3.4686 1.6779 2.8894
-3.1200 3.0787 5.9715
F I Co
2 2 4
Direct
0.2500 0.7500 0.5000
0.5000 0.5000 0.0000
0.7500 0.2500 0.5000
0.0000 0.0000 0.0000
0.2545 0.6250 0.2500
0.8750 0.7455 0.7500
0.3750 0.5045 0.7500
0.4955 0.1250 0.2500
```

Summary:
Density, g/cm3: 5.7
Energy, eV for the cell shown: -29.91
Space-group type: I-42d
Crystal system: tetragonal
Calculated volume, Å³ per cell: 152.6
Energy above the lowest structure with this stoichiometry, meV per atom: 0